No. 1
Rb2YCd2O4 after structural relaxation. Source: the Alexandria database, functional PBE-GGA.

Results
Theoretical density   5.03 g cm⁻³
Volume   362.5 Å³/cell
Formation energy (no corrections)   -1.65 eV per atom

```
data_Rb2YCd2O4
_chemical_formula_sum 'Rb4 Y2 Cd4 O8'
_cell_length_a 13.2691
_cell_length_b 3.5574
_cell_length_c 9.7634
_cell_angle_alpha 90.00
_cell_angle_beta 128.14
_cell_angle_gamma 90.00
_symmetry_space_group_name_H-M 'C 1 2/m 1'
_symmetry_Int_Tables_number 12
loop_
_symmetry_equiv_pos_as_xyz
'x,y,z'
'-x,-y,-z'
'-x,y,-z'
'x,-y,z'
'x+1/2,y+1/2,z'
'-x+1/2,-y+1/2,-z'
'-x+1/2,y+1/2,-z'
'x+1/2,-y+1/2,z'
loop_
_atom_site_label
_atom_site_type_symbol
_atom_site_fract_x
_atom_site_fract_y
_atom_site_fract_z
_atom_site_occupancy
Rb1 Rb 0.1468 0.0000 0.2747 1
Y1 Y 0.0000 0.5000 0.5000 1
Cd1 Cd 0.1629 0.0000 0.8564 1
O1 O 0.0330 0.5000 0.7644 1
O2 O 0.1437 0.0000 0.6082 1
```

=====

No. 2
RbYCdO3 after structural relaxation. Source: the Alexandria database, functional PBE-GGA.

Results
Theoretical density   4.88 g cm⁻³
Volume   227.8 Å³/cell
Formation energy (no corrections)   -2.06 eV per atom

```
data_RbYCdO3
_chemical_formula_sum 'Rb2 Y2 Cd2 O6'
_cell_length_a 6.9335
_cell_length_b 3.5991
_cell_length_c 9.5629
_cell_angle_alpha 90.00
_cell_angle_beta 107.32
_cell_angle_gamma 90.00
_symmetry_space_group_name_H-M 'P 1 21/m 1'
_symmetry_Int_Tables_number 11
loop_
_symmetry_equiv_pos_as_xyz
'x,y,z'
'-x,-y,-z'
'-x,y+1/2,-z'
'x,-y+1/2,z'
loop_
_atom_site_label
_atom_site_type_symbol
_atom_site_fract_x
_atom_site_fract_y
_atom_site_fract_z
_atom_site_occupancy
Rb1 Rb 0.1334 0.2500 0.1804 1
Y1 Y 0.3810 0.2500 0.8454 1
Cd1 Cd 0.1897 0.7500 0.5444 1
O1 O 0.0544 0.2500 0.6574 1
O2 O 0.3157 0.7500 0.9820 1
O3 O 0.4582 0.7500 0.7191 1
```

=====

No. 3
Rb2Zn2CdO4 after structural relaxation. Source: the Alexandria database, functional PBE-GGA.

Results
Theoretical density   5.19 g cm⁻³
Volume   305.8 Å³/cell
Formation energy (no corrections)   -1.25 eV per atom

```
data_Rb2Zn2CdO4
_chemical_formula_sum 'Rb4 Zn4 Cd2 O8'
_cell_length_a 14.2683
_cell_length_b 3.4384
_cell_length_c 6.5102
_cell_angle_alpha 90.00
_cell_angle_beta 106.75
_cell_angle_gamma 90.00
_symmetry_space_group_name_H-M 'C 1 2/m 1'
_symmetry_Int_Tables_number 12
loop_
_symmetry_equiv_pos_as_xyz
'x,y,z'
'-x,-y,-z'
'-x,y,-z'
'x,-y,z'
'x+1/2,y+1/2,z'
'-x+1/2,-y+1/2,-z'
'-x+1/2,y+1/2,-z'
'x+1/2,-y+1/2,z'
loop_
_atom_site_label
_atom_site_type_symbol
_atom_site_fract_x
_atom_site_fract_y
_atom_site_fract_z
_atom_site_occupancy
Rb1 Rb 0.1262 0.0000 0.0318 1
Zn1 Zn 0.1736 0.5000 0.5029 1
Cd1 Cd 0.0000 0.0000 0.5000 1
O1 O 0.0396 0.5000 0.3037 1
O2 O 0.2174 0.0000 0.6655 1
```

=====

No. 4
Rb2ZrCdO4 after structural relaxation. Source: the Alexandria database, functional PBE-GGA.

Results
Theoretical density   5.47 g cm⁻³
Volume   133.2 Å³/cell
Formation energy (no corrections)   -1.98 eV per atom

```
data_Rb2ZrCdO4
_chemical_formula_sum 'Rb2 Zr1 Cd1 O4'
_cell_length_a 6.1096
_cell_length_b 3.3688
_cell_length_c 6.8448
_cell_angle_alpha 90.00
_cell_angle_beta 108.97
_cell_angle_gamma 90.00
_symmetry_space_group_name_H-M 'P 1 2/m 1'
_symmetry_Int_Tables_number 10
loop_
_symmetry_equiv_pos_as_xyz
'x,y,z'
'-x,-y,-z'
'-x,y,-z'
'x,-y,z'
loop_
_atom_site_label
_atom_site_type_symbol
_atom_site_fract_x
_atom_site_fract_y
_atom_site_fract_z
_atom_site_occupancy
Rb1 Rb 0.0000 0.0000 0.0000 1
Rb2 Rb 0.5000 0.5000 0.0000 1
Zr1 Zr 0.0000 0.5000 0.5000 1
Cd1 Cd 0.5000 0.0000 0.5000 1
O1 O 0.1902 0.0000 0.6833 1
O2 O 0.2434 0.5000 0.3326 1
```